A plane-wave DFT calculation with PBE was carried out for BaAl2Sb after structural relaxation.

Output
SG = No. 12
raw formation energy = -0.184 eV/atom
theoretical density = 4.35 g cm⁻³
total moment = 0.0 μB per cell
N(E_F) = 1.8 states/eV/cell

Cell lengths 5.159, 5.159, 6.325 Å; angles 73.62, 73.62, 48.20 degrees
Atoms (fractional coordinates):
Al: 0.520 0.520 0.395
Al: 0.980 0.980 0.105
Ba: 0.750 0.750 0.750
Sb: 0.250 0.250 0.250